VASP calculation (GGA-PBE) on crystalline BaCu2Cl6 at its relaxed geometry.

abc: 7.122 7.122 8.341
angles: 106.19 106.19 43.15
Fractional coordinates of all 9 atoms:
Ba  0.000  0.000  0.000
Cu  0.246  0.246  0.657
Cu  0.754  0.754  0.343
Cl  0.087  0.087  0.701
Cl  0.206  0.206  0.376
Cl  0.355  0.355  0.918
Cl  0.645  0.645  0.082
Cl  0.794  0.794  0.624
Cl  0.913  0.913  0.299

Computed properties:
- Distance to the lowest polymorph of the same formula: 0.007 eV/atom
- Calculated density: 2.870 g cm⁻³
- Fermi-level density of states: 4.39 states/eV/f.u.